1.
VASP calculation (PBE) on a geometry-optimized BeCd2Hg structure.

The calculation puts the distance to the lowest polymorph of the same formula at 0.39 eV per formula unit.

It has space group Pm (No. 6), with a = 3.653 Å, b = 4.225 Å, c = 5.320 Å, α = 90.00°, β = 101.69° and γ = 90.00°. The asymmetric unit holds Be at (0.000, 0.000, 0.000), Cd at (0.195, 0.000, 0.510), Cd at (0.473, 0.500, 0.200) and Hg at (0.803, 0.500, 0.754).



2.
VASP calculation (PBE) on a geometry-optimized PrHoBeAg structure.

The total energy is -0.293 Ry/atom.

It has space group F-43m (No. 216), with a = 7.232 Å, b = 7.232 Å, c = 7.232 Å, α = 90.00°, β = 90.00° and γ = 90.00°. The asymmetric unit holds Pr at (0.000, 0.000, 0.000), Ho at (0.000, 0.000, 0.500), Be at (0.250, 0.250, 0.750) and Ag at (0.250, 0.250, 0.250).



3.
VASP calculation (PBE) on a geometry-optimized CoBi3Pt structure.

The calculation puts the distance to the lowest polymorph of the same formula at 0.00 eV per formula unit.

It has space group Pm-3m (No. 221), with a = 5.002 Å, b = 5.002 Å, c = 5.002 Å, α = 90.00°, β = 90.00° and γ = 90.00°. The asymmetric unit holds Co at (0.000, 0.000, 0.000), Bi at (0.000, 0.000, 0.500) and Pt at (0.500, 0.500, 0.500).



4.
VASP calculation (PBE) on a geometry-optimized Ac6Ir2PbSe3 structure.

Its formation energy from raw total energies is -1222 meV per atom.

It has space group C2/m (No. 12), with a = 20.000 Å, b = 4.421 Å, c = 9.367 Å, α = 90.00°, β = 106.13° and γ = 90.00°. The asymmetric unit holds Ac at (0.011, 0.000, 0.267), Ac at (0.173, 0.500, 0.109), Ac at (0.177, 0.500, 0.567), Ir at (0.168, 0.000, 0.334), Pb at (0.000, 0.500, 0.000), Se at (0.000, 0.500, 0.500) and Se at (0.162, 0.000, 0.833).